Density functional theory data (PBE) for IrAuClO after structural relaxation.

a = 3.6837 Å, b = 3.3515 Å, c = 6.5495 Å
α = 90.00°, β = 90.00°, γ = 90.00°
Last column: nearest neighbours and their distance in Å.
Element x y z (fractional)
O  0.5000  0.0000  0.6690  2 Ir 1.84
Ir  0.0000  0.0000  0.6793  2 O 1.84
Cl  0.0000  0.0000  0.2821  2 Au 2.52, 1 Ir 2.60
Au  0.0000  0.5000  0.9949  2 Cl 2.52, 2 Ir 2.66

Computed properties:
**Total magnetization**: 0.203 Bohr magnetons per cell
**Symmetry**: No. 25
**Crystal system**: orthorhombic
**Polymorph energy (0 for the lowest one)**: 0.004 eV/atom



Density functional theory data (PBE) for IrAuClO after structural relaxation.

a = 7.5378 Å, b = 2.7397 Å, c = 6.9620 Å
α = 90.00°, β = 86.36°, γ = 90.00°
Last column: nearest neighbours and their distance in Å.
Element x y z (fractional)
Ir  0.6583  0.5000  0.7720  3 O 1.96-2.05
Ir  0.6583  0.0000  0.2720  3 O 1.96-2.05
O  0.6466  0.0000  0.5534  3 Ir 1.96-2.05
O  0.6466  0.5000  0.0534  3 Ir 1.96-2.05
Cl  0.3194  0.5000  0.8170  1 Au 2.44, 1 Ir 2.55
Cl  0.3194  0.0000  0.3170  1 Au 2.44, 1 Ir 2.55
Au  0.0009  0.0000  0.2693  1 Cl 2.44, 1 Ir 2.58
Au  0.0009  0.5000  0.7693  1 Cl 2.44, 1 Ir 2.58

Computed properties:
**Total magnetization**: 0.000 Bohr magnetons per cell
**Symmetry**: No. 8
**Crystal system**: monoclinic
**Polymorph energy (0 for the lowest one)**: 0.181 eV/atom



Density functional theory data (PBE) for IrAuClO after structural relaxation.

a = 8.0481 Å, b = 3.3527 Å, c = 5.8042 Å
α = 90.00°, β = 108.43°, γ = 90.00°
Last column: nearest neighbours and their distance in Å.
Element x y z (fractional)
Ir  0.2440  0.5000  0.1889  3 O 2.07
Ir  0.2440  0.0000  0.6889  3 O 2.07
O  0.3404  0.5000  0.8981  3 Ir 2.07
O  0.3404  0.0000  0.3981  3 Ir 2.07
Au  0.0102  0.0000  0.9198  3 Cl 2.61, 3 Ir 2.63
Au  0.0102  0.5000  0.4198  3 Cl 2.61, 3 Ir 2.63
Cl  0.7802  0.5000  0.6525  3 Au 2.61
Cl  0.7802  0.0000  0.1525  3 Au 2.61

Computed properties:
**Total magnetization**: 0.000 Bohr magnetons per cell
**Symmetry**: No. 8
**Crystal system**: monoclinic
**Polymorph energy (0 for the lowest one)**: 0.077 eV/atom



> What is the formula in the first record?

IrAuClO



Please write out number 3 again, unchanged.
Density functional theory data (PBE) for IrAuClO after structural relaxation.

a = 8.0481 Å, b = 3.3527 Å, c = 5.8042 Å
α = 90.00°, β = 108.43°, γ = 90.00°
Last column: nearest neighbours and their distance in Å.
Element x y z (fractional)
Ir  0.2440  0.5000  0.1889  3 O 2.07
Ir  0.2440  0.0000  0.6889  3 O 2.07
O  0.3404  0.5000  0.8981  3 Ir 2.07
O  0.3404  0.0000  0.3981  3 Ir 2.07
Au  0.0102  0.0000  0.9198  3 Cl 2.61, 3 Ir 2.63
Au  0.0102  0.5000  0.4198  3 Cl 2.61, 3 Ir 2.63
Cl  0.7802  0.5000  0.6525  3 Au 2.61
Cl  0.7802  0.0000  0.1525  3 Au 2.61

Computed properties:
**Total magnetization**: 0.000 Bohr magnetons per cell
**Symmetry**: No. 8
**Crystal system**: monoclinic
**Polymorph energy (0 for the lowest one)**: 0.077 eV/atom



> What is the total magnetization in the second record?

0.000 Bohr magnetons per cell



> Which of these has the lowest polymorph energy (0 for the lowest one)?

number 1